1.
Gd2BiN: optimized geometry, GGA-PBE.

Formation energy from raw total energies: -557 meV per atom
D(E_F): 3.25 states/eV/f.u.
Spin magnetization: 3.71 μB/atom
Density: 10.67 g cm⁻³
Distance to the lowest polymorph of the same formula: 0.516 eV per atom

Cell lengths 3.250, 3.250, 7.920 Å; angles 90.00, 90.00, 90.00 degrees
Fractional coordinates of all 4 atoms:
Gd1 0.000 0.000 0.183
Gd2 0.000 0.000 0.817
Bi1 0.500 0.500 0.500
N1 0.500 0.500 0.000

2.
Be3PdI: optimized geometry, GGA-PBE.

Formation energy from raw total energies: 1753 meV per atom
D(E_F): 3.29 states/eV/f.u.
Spin magnetization: 0.00 μB/atom
Density: 4.30 g cm⁻³
Distance to the lowest polymorph of the same formula: 1.176 eV per atom

Cell lengths 4.649, 4.649, 4.649 Å; angles 90.00, 90.00, 90.00 degrees
Fractional coordinates of all 5 atoms:
Be1 0.000 0.000 0.500
Be2 0.000 0.500 0.000
Be3 0.500 0.000 0.000
Pd1 0.500 0.500 0.500
I1 0.000 0.000 0.000

3.
K4TbEr3Te8: optimized geometry, GGA-PBE.

Formation energy from raw total energies: -1387 meV per atom
Spin magnetization: 0.00 μB/atom
Density: 5.33 g cm⁻³

Cell lengths 9.728, 9.728, 9.728 Å; angles 54.80, 54.80, 54.80 degrees
Fractional coordinates of all 16 atoms:
K1 0.000 0.000 0.000
K2 0.000 0.500 0.500
K3 0.500 0.000 0.500
K4 0.500 0.500 0.000
Tb1 0.500 0.500 0.500
Er1 0.000 0.000 0.500
Er2 0.000 0.500 0.000
Er3 0.500 0.000 0.000
Te1 0.233 0.737 0.737
Te2 0.236 0.236 0.236
Te3 0.263 0.263 0.767
Te4 0.263 0.767 0.263
Te5 0.737 0.233 0.737
Te6 0.737 0.737 0.233
Te7 0.764 0.764 0.764
Te8 0.767 0.263 0.263